VASP calculation (PBE) on a geometry-optimized Sr2NpAs3Pt4 structure.

POSCAR file:
```
Sr2NpAs3Pt4
1.0
4.351 0.000 0.000
0.000 4.351 0.000
0.000 0.000 11.456
Pt As Np Sr
4 3 1 2
direct
0.000 0.500 0.340
0.500 0.000 0.660
0.500 0.500 0.000
0.000 0.000 0.000
0.000 0.000 0.500
0.500 0.000 0.879
0.000 0.500 0.121
0.500 0.500 0.500
0.500 0.000 0.226
0.000 0.500 0.774
```

VASP calculation (PBE) on a geometry-optimized PuNpAs2 structure.

POSCAR file:
```
PuNpAs2
1.0
-1.714 2.792 0.185
-4.151 -2.429 -1.803
-1.397 -1.176 4.801
Pu As Np
1 2 1
direct
0.500 0.500 0.500
0.000 0.500 0.000
0.000 0.000 0.500
0.500 0.000 0.000
```

VASP calculation (PBE) on a geometry-optimized PuNp4As5 structure.

POSCAR file:
```
PuNp4As5
1.0
5.246 0.000 2.530
2.623 6.511 1.265
-0.206 0.000 7.130
Np As Pu
4 5 1
direct
0.201 0.199 0.400
0.602 0.600 0.199
0.400 0.400 0.801
0.801 0.801 0.600
0.303 0.799 0.598
0.102 0.598 0.201
0.901 0.402 0.799
0.501 0.000 0.000
0.700 0.201 0.402
0.001 0.000 0.000
```

VASP calculation (PBE) on a geometry-optimized PuNpAs2 structure.

POSCAR file:
```
PuNpAs2
1.0
4.119 0.000 0.000
0.000 5.835 0.000
0.000 0.000 8.268
As Pu Np
4 2 2
direct
0.000 0.000 0.372
0.500 0.500 0.123
0.000 0.000 0.877
0.500 0.500 0.628
0.500 0.000 0.625
0.000 0.500 0.375
0.500 0.000 0.125
0.000 0.500 0.875
```

VASP calculation (PBE) on a geometry-optimized Pu4NpAs5 structure.

POSCAR file:
```
Pu4NpAs5
1.0
5.268 0.000 2.541
2.634 6.537 1.270
-0.206 0.000 7.158
As Np Pu
5 1 4
direct
0.501 0.000 0.000
0.100 0.602 0.199
0.702 0.199 0.398
0.901 0.398 0.801
0.300 0.801 0.602
0.001 0.000 0.000
0.801 0.799 0.600
0.601 0.600 0.201
0.201 0.201 0.400
0.401 0.400 0.799
```

VASP calculation (PBE) on a geometry-optimized PuNpAs2 structure.

POSCAR file:
```
PuNpAs2
1.0
-0.777 1.878 3.477
-3.804 0.424 1.253
-1.079 -5.464 5.043
As Pu Np
2 1 1
direct
0.082 0.082 0.754
0.251 0.251 0.247
0.668 0.668 0.995
0.499 0.499 0.504
```

For reference, ΔE_f by record: -0.704 -0.684 -0.752 -0.855 -0.920 -0.725 eV per atom.